Entry from the Alexandria database: a relaxed PrHoCdCo crystal (PBE-GGA).

Results
Its energy of formation from the pure elements is -0.07 eV/atom. Its density of states at the Fermi level is 2.73 states/eV/f.u. The magnetic moment comes out at 0.446 μB per formula unit.

Lattice parameters (Å, degrees): 5.1339 5.1339 5.1339 60.00 60.00 60.00
Last column: magnetic moment on the atom in μB.
Element x y z (fractional)
Cd: 0.7500 0.7500 0.7500  -0.02
Co: 0.2500 0.2500 0.2500  1.07
Ho: 0.5000 0.5000 0.5000  -0.23
Pr: 0.0000 0.0000 0.0000  -0.13



Entry from the Alexandria database: a relaxed HoScCdCo crystal (PBE-GGA).

Results
Its energy of formation from the pure elements is -0.16 eV/atom. For the polymorph energy (0 for the lowest one), the calculation gives 141 meV/atom. Its density of states at the Fermi level is 2.17 states/eV/f.u. The magnetic moment comes out at 0.499 μB per formula unit.

Lattice parameters (Å, degrees): 4.8753 4.8753 4.8753 60.00 60.00 60.00
Last column: magnetic moment on the atom in μB.
Element x y z (fractional)
Cd: 0.7500 0.7500 0.7500  -0.01
Ho: 0.5000 0.5000 0.5000  -0.15
Sc: 0.0000 0.0000 0.0000  -0.17
Co: 0.2500 0.2500 0.2500  0.99



Entry from the Alexandria database: a relaxed HoScCdCo crystal (PBE-GGA).

Results
Its energy of formation from the pure elements is -0.30 eV/atom. For the polymorph energy (0 for the lowest one), the calculation gives 0 meV/atom. Its density of states at the Fermi level is 2.52 states/eV/f.u. The magnetic moment comes out at 0.405 μB per formula unit.

Lattice parameters (Å, degrees): 3.3013 3.3013 7.4499 90.00 90.00 90.00
Last column: magnetic moment on the atom in μB.
Element x y z (fractional)
Sc: 0.5000 0.5000 0.3610  -0.10
Co: 0.0000 0.0000 0.5511  0.67
Ho: 0.5000 0.5000 0.7823  -0.09
Cd: 0.0000 0.0000 0.0903  0.00



Entry from the Alexandria database: a relaxed SmHoCdCo crystal (PBE-GGA).

Results
Its energy of formation from the pure elements is -0.11 eV/atom. For the polymorph energy (0 for the lowest one), the calculation gives 109 meV/atom. Its density of states at the Fermi level is 2.64 states/eV/f.u. The magnetic moment comes out at 0.485 μB per formula unit.

Lattice parameters (Å, degrees): 5.0764 5.0764 5.0764 60.00 60.00 60.00
Last column: magnetic moment on the atom in μB.
Element x y z (fractional)
Ho: 0.5000 0.5000 0.5000  -0.21
Co: 0.2500 0.2500 0.2500  1.05
Sm: 0.0000 0.0000 0.0000  -0.13
Cd: 0.7500 0.7500 0.7500  -0.01



Entry from the Alexandria database: a relaxed SmHoCdCo crystal (PBE-GGA).

Results
Its energy of formation from the pure elements is -0.22 eV/atom. For the polymorph energy (0 for the lowest one), the calculation gives 0 meV/atom. Its density of states at the Fermi level is 2.88 states/eV/f.u. The magnetic moment comes out at 0.580 μB per formula unit.

Lattice parameters (Å, degrees): 3.4534 3.4534 7.7226 90.00 90.00 90.00
Last column: magnetic moment on the atom in μB.
Element x y z (fractional)
Sm: 0.5000 0.5000 0.7836  -0.08
Cd: 0.0000 0.0000 0.0810  0.00
Ho: 0.5000 0.5000 0.3590  -0.14
Co: 0.0000 0.0000 0.5612  0.90



Entry from the Alexandria database: a relaxed TbHoCdCo crystal (PBE-GGA).

Results
Its energy of formation from the pure elements is -0.14 eV/atom. For the polymorph energy (0 for the lowest one), the calculation gives 113 meV/atom. Its density of states at the Fermi level is 2.86 states/eV/f.u. The magnetic moment comes out at 0.540 μB per formula unit.

Lattice parameters (Å, degrees): 5.0321 5.0321 5.0321 60.00 60.00 60.00
Last column: magnetic moment on the atom in μB.
Element x y z (fractional)
Co: 0.2500 0.2500 0.2500  1.04
Cd: 0.7500 0.7500 0.7500  -0.01
Tb: 0.5000 0.5000 0.5000  -0.17
Ho: 0.0000 0.0000 0.0000  -0.19



Please write out number 1 again, unchanged.
Entry from the Alexandria database: a relaxed PrHoCdCo crystal (PBE-GGA).

Results
Its energy of formation from the pure elements is -0.07 eV/atom. Its density of states at the Fermi level is 2.73 states/eV/f.u. The magnetic moment comes out at 0.446 μB per formula unit.

Lattice parameters (Å, degrees): 5.1339 5.1339 5.1339 60.00 60.00 60.00
Last column: magnetic moment on the atom in μB.
Element x y z (fractional)
Cd: 0.7500 0.7500 0.7500  -0.02
Co: 0.2500 0.2500 0.2500  1.07
Ho: 0.5000 0.5000 0.5000  -0.23
Pr: 0.0000 0.0000 0.0000  -0.13



Copy entry 3 word for word.
Entry from the Alexandria database: a relaxed HoScCdCo crystal (PBE-GGA).

Results
Its energy of formation from the pure elements is -0.30 eV/atom. For the polymorph energy (0 for the lowest one), the calculation gives 0 meV/atom. Its density of states at the Fermi level is 2.52 states/eV/f.u. The magnetic moment comes out at 0.405 μB per formula unit.

Lattice parameters (Å, degrees): 3.3013 3.3013 7.4499 90.00 90.00 90.00
Last column: magnetic moment on the atom in μB.
Element x y z (fractional)
Sc: 0.5000 0.5000 0.3610  -0.10
Co: 0.0000 0.0000 0.5511  0.67
Ho: 0.5000 0.5000 0.7823  -0.09
Cd: 0.0000 0.0000 0.0903  0.00



> Which formula does entry 4 have?

SmHoCdCo



> Which value of magnetic moment does entry 6 give?

0.540 μB per formula unit